Entry 1:
Here is an optimized crystal structure of NaMgBi2 from the Alexandria database. Energies are from PBE.

Output
ΔH_f (0 K) in meV/atom: -74.9
Space-group type: I-42d, No. 122
V in Å³ per atom: 31.3

```
NaMgBi2
1.0
-4.0648 -4.8473 -6.1169
7.3970 -0.1927 -4.7628
2.5808 -5.2177 -3.9100
Bi Mg Na
4 2 2
Cartesian
-1.1605 -4.5844 -5.6816
2.8397 -5.7942 -6.7899
4.9500 -1.8044 -4.4332
5.1967 -8.3322 -12.6747
0.0910 -6.2925 -7.7334
0.0000 0.0000 0.0000
1.6661 -2.5200 -5.4398
5.8219 -3.9652 -7.0563
```

***

Entry 2:
Here is an optimized crystal structure of DyCuAg2S4 from the Alexandria database. Energies are from PBE.

Output
E_form (uncorrected) in meV per atom: -591
Space-group type: Cmcm, No. 63
V in Å³ per atom: 19.6

```
DyCuAg2S4
1.0
-2.1065 2.9576 1.2438
-3.4111 -5.6775 1.8010
6.0750 -0.2201 10.8124
S Ag Dy Cu
8 4 2 2
Cartesian
1.0789 -0.2597 8.3672
-0.1623 0.8334 3.6657
-0.5216 -2.6802 5.4900
-1.9679 -2.6278 2.9158
3.0375 -0.1101 5.4062
2.5253 -0.3121 10.9414
0.7196 -3.7734 10.1915
0.0000 0.0000 0.0000
0.0443 -3.2560 7.8175
2.4042 -3.3415 12.0177
0.5130 0.3160 6.0396
-1.8469 0.4015 1.8395
-3.2199 -2.0422 5.3251
3.7772 -0.8978 8.5321
-0.0455 -1.5262 3.5521
0.6029 -1.4137 10.3051
```

***

Entry 3:
Here is an optimized crystal structure of NaLa2Sn from the Alexandria database. Energies are from PBE.

Output
ΔH_f (0 K) in meV/atom: -301.3
Space-group type: P4/mmm, No. 123
V in Å³ per atom: 33.5

```
NaLa2Sn
1.0
4.2148 0.0000 0.0000
0.0000 4.2148 0.0000
0.0000 0.0000 7.5410
La Sn Na
2 1 1
Cartesian
0.0000 0.0000 1.5736
0.0000 0.0000 5.9675
2.1074 2.1074 0.0000
2.1074 2.1074 3.7705
```

***

Entry 4:
Here is an optimized crystal structure of ZnGa2TcOs from the Alexandria database. Energies are from PBE.

Output
ΔH_f (0 K) in meV/atom: 1494.5
Space-group type: P4/mmm, No. 123
V in Å³ per atom: 18.1

```
ZnGa2TcOs
1.0
-3.1023 -1.6607 -2.6634
-0.0826 -3.9048 2.5310
-3.1378 1.7344 2.5734
Ga Os Zn Tc
2 1 1 1
Cartesian
-1.5511 -0.8304 -1.3317
-1.5689 0.8672 1.2867
-3.1613 -1.9156 1.2205
0.0000 0.0000 0.0000
-0.0413 -1.9524 1.2655
```

***

Entry 5:
Here is an optimized crystal structure of Tc4Te5 from the Alexandria database. Energies are from PBE.

Output
E_form (uncorrected) in meV per atom: 545
Space-group type: P6_3/mcm, No. 193
V in Å³ per atom: 19.9

```
Tc4Te5
1.0
-7.4175 -2.3552 2.8054
6.7862 -1.4982 4.4877
-0.6498 5.3404 2.7655
Tc Te
8 10
Cartesian
3.9534 3.0249 5.0107
2.1830 0.8173 2.2424
-0.5755 -1.1865 5.4638
0.0000 0.0000 0.0000
-0.3249 2.6702 1.3827
-5.3412 2.4641 3.9099
-0.7055 2.6735 4.5947
-2.7261 0.5211 1.6610
-0.3427 0.2345 2.7744
1.4510 3.5774 3.3559
-2.6829 -2.0695 3.3661
-5.4613 -0.3474 2.6955
1.7268 0.8863 5.3096
-3.0078 0.6007 4.7489
-0.9383 1.2525 7.2841
2.0516 -1.7839 3.9269
-2.6059 3.3326 2.8754
4.6855 0.2648 3.8973
```

***

Entry 6:
Here is an optimized crystal structure of LiZr2GeO from the Alexandria database. Energies are from PBE.

Output
E_form (uncorrected) in meV per atom: -1315
Space-group type: P4/mmm, No. 123
V in Å³ per atom: 15.4

```
LiZr2GeO
1.0
-1.2106 1.0451 4.1689
0.1014 -4.3230 1.1131
3.7071 0.3421 0.9907
Zr O Ge Li
2 1 1 1
Cartesian
-0.6053 0.5225 2.0844
0.0507 -2.1615 0.5566
0.0000 0.0000 0.0000
1.2990 -1.4679 3.1364
1.8535 0.1710 0.4954
```